Material: TaSiAs4
Method: DFT, GGA-PBE
State: relaxed

Summary:
Total magnetic moment (μB per cell): 0.0
Energy relative to the elements, uncorrected (eV/atom): 0.734
SG: F-43m

Cell: 5.4156 5.4156 5.4156 Å, 60.00 60.00 60.00°
Atoms (fractional coordinates):
1 Ta 0.0000 0.0000 0.0000
2 Si 0.7500 0.7500 0.7500
3 As 0.8775 0.3742 0.3742
4 As 0.3742 0.3742 0.8775
5 As 0.3742 0.8775 0.3742
6 As 0.3742 0.3742 0.3742